# Tb4AlIr, optimized geometry, DFT PBE
data_Tb4AlIr
_space_group_name_H-M_alt 'F -4 3 m'
_space_group_IT_number 216
_space_group_name_Hall 'F -4 2 3'
_cell_length_a 13.560
_cell_length_b 13.560
_cell_length_c 13.560
_cell_angle_alpha 90.00
_cell_angle_beta 90.00
_cell_angle_gamma 90.00
loop_
_atom_site_label
_atom_site_fract_x
_atom_site_fract_y
_atom_site_fract_z
Tb1 0.000 0.000 0.188
Tb2 0.055 0.250 0.250
Tb3 0.101 0.101 0.601
Al1 0.173 0.173 0.827
Ir1 0.109 0.109 0.391
# Calculated formation energy in eV per atom: -0.531
# Total magnetization in μB/cell: 0.00


# MgZn4Ni, optimized geometry, DFT PBE
data_MgZn4Ni
_space_group_name_H-M_alt 'P m m a'
_space_group_IT_number 51
_cell_length_a 8.471
_cell_length_b 2.979
_cell_length_c 7.160
_cell_angle_alpha 90.00
_cell_angle_beta 90.00
_cell_angle_gamma 90.00
loop_
_space_group_symop_operation_xyz
'x,y,z'
'-x,-y,-z'
'-x+1/2,-y,z'
'x+1/2,y,-z'
'x+1/2,-y,-z'
'-x+1/2,y,z'
'-x,y,-z'
'x,-y,z'
loop_
_atom_site_label
_atom_site_fract_x
_atom_site_fract_y
_atom_site_fract_z
Mg1 0.250 0.000 0.055
Zn1 0.000 0.000 0.500
Zn2 0.036 0.500 0.818
Zn3 0.250 0.500 0.394
Ni1 0.250 0.000 0.681
# Calculated formation energy in eV per atom: -0.120
# Total magnetization in μB/cell: 0.00


# PuNiH8Rh2, optimized geometry, DFT PBE
data_PuNiH8Rh2
_space_group_name_H-M_alt 'R -3'
_space_group_IT_number 148
_space_group_name_Hall '-R 3'
_cell_length_a 4.5850
_cell_length_b 4.5850
_cell_length_c 16.4943
_cell_angle_alpha 90.00
_cell_angle_beta 90.00
_cell_angle_gamma 120.00
loop_
_atom_site_label
_atom_site_fract_x
_atom_site_fract_y
_atom_site_fract_z
Pu1 0.0000 0.0000 0.0000
Ni1 0.0000 0.0000 0.5000
H1 0.0000 0.0000 0.3115
H2 0.0034 0.3768 0.7823
Rh1 0.0000 0.0000 0.2098
# Total magnetization in μB/cell: 16.17
# DFT total energy in eV/cell: -190.0


Short version: DOS at the Fermi energy = 0.61; 0.53; 1.24 states/eV per atom, in the order given.